SmTmHgPt | PBE-GGA | optimized geometry

Cell: 5.114 5.114 5.114 Å, 60.00 60.00 60.00°
Sites, in units of the cell vectors:
Sm1 0.000 0.000 0.000
Tm1 0.500 0.500 0.500
Hg1 0.750 0.750 0.750
Pt1 0.250 0.250 0.250

Output
Symmetry   F-43m (216)
Formation energy   -0.79 eV/atom
DFT total energy   -4.67 eV per atom